Compound: LiCrP2O
Source: Alexandria via LeMat-Bulk
Functional: PBE+U
Structure: optimized geometry

abc: 4.672 4.672 3.514
angles: 90.00 90.00 90.00
Fractional positions:
P  0.500  0.000  0.000
P  0.000  0.500  0.000
Li  0.500  0.500  0.500
Cr  0.000  0.000  0.000
O  0.000  0.000  0.500

Results
Density ... 3.0 g cm⁻³
E_tot ... -4.914 eV per atom
Total magnetic moment ... 0.00 μB per formula unit
N(E_F) ... 0.829 states/eV/atom